Na3La2SmTe6 (GGA-PBE, relaxed); calculated total energy = -53.9 eV for the cell shown; ΔE_f (raw) = -1380 meV per atom
1.0
3.984 -6.901 0.000
3.984 6.901 0.000
-2.659 0.000 7.524
Na La Sm Te
3 2 1 6
direct
0.000 0.000 0.000
0.332 0.668 0.000
0.668 0.332 0.000
0.166 0.834 0.500
0.834 0.166 0.500
0.500 0.500 0.500
0.093 0.420 0.260
0.253 0.253 0.740
0.420 0.093 0.260
0.580 0.907 0.740
0.747 0.747 0.260
0.907 0.580 0.740